No. 1
Density functional theory data (PBE-GGA) for a relaxed structure of Mo2RuRh.

Geometry as CIF:
```
data_Mo2RuRh
_chemical_formula_sum 'Mo2 Ru1 Rh1'
_space_group_name_H-M_alt 'P 1'
_space_group_IT_number 1
_space_group_name_Hall 'P 1'
_cell_length_a 4.442
_cell_length_b 2.786
_cell_length_c 4.805
_cell_angle_alpha 89.99
_cell_angle_beta 90.00
_cell_angle_gamma 90.00
loop_
_atom_site_label
_atom_site_fract_x
_atom_site_fract_y
_atom_site_fract_z
Ru1 0.500 0.625 0.805
Mo1 0.000 0.125 0.950
Mo2 0.500 0.125 0.298
Rh1 0.000 0.625 0.447
```

Computed properties:
The formation energy is -0.078 eV/atom. The calculation puts the energy relative to the lowest polymorph listed for this composition at 0.005 eV per atom.


No. 2
Density functional theory data (PBE-GGA) for a relaxed structure of Pa2TcNiN5.

Geometry as CIF:
```
data_Pa2TcNiN5
_chemical_formula_sum 'Pa4 Tc2 Ni2 N10'
_space_group_name_H-M_alt 'P 1'
_space_group_IT_number 1
_space_group_name_Hall 'P 1'
_cell_length_a 3.348
_cell_length_b 6.799
_cell_length_c 9.520
_cell_angle_alpha 90.00
_cell_angle_beta 90.00
_cell_angle_gamma 104.25
loop_
_atom_site_label
_atom_site_fract_x
_atom_site_fract_y
_atom_site_fract_z
Pa1 0.866 0.732 0.810
Pa2 0.114 0.229 0.687
Pa3 0.134 0.268 0.310
Pa4 0.886 0.771 0.187
Tc1 0.806 0.613 0.510
Tc2 0.194 0.387 0.010
Ni1 0.558 0.115 0.950
Ni2 0.442 0.885 0.450
N1 0.350 0.700 0.007
N2 0.691 0.381 0.867
N3 0.494 0.987 0.771
N4 0.292 0.584 0.663
N5 0.956 0.912 0.559
N6 0.650 0.300 0.507
N7 0.309 0.619 0.367
N8 0.506 0.013 0.271
N9 0.708 0.416 0.163
N10 0.044 0.088 0.059
```

Computed properties:
As for the uncorrected formation energy: -78.9 kJ per mole of atoms.


No. 3
Density functional theory data (PBE-GGA) for a relaxed structure of Tl2TcAu.

Geometry as CIF:
```
data_Tl2TcAu
_chemical_formula_sum 'Tl2 Tc1 Au1'
_space_group_name_H-M_alt 'P 1'
_space_group_IT_number 1
_space_group_name_Hall 'P 1'
_cell_length_a 5.336
_cell_length_b 5.336
_cell_length_c 5.336
_cell_angle_alpha 132.30
_cell_angle_beta 132.30
_cell_angle_gamma 69.76
loop_
_atom_site_label
_atom_site_fract_x
_atom_site_fract_y
_atom_site_fract_z
Au1 0.250 0.750 0.500
Tc1 0.750 0.250 0.500
Tl1 0.000 0.000 0.000
Tl2 0.500 0.500 0.000
```

Computed properties:
The formation energy is 0.648 eV/atom. The calculation puts the energy relative to the lowest polymorph listed for this composition at 0.176 eV per atom.


No. 4
Density functional theory data (PBE-GGA) for a relaxed structure of Ba3Hg.

Geometry as CIF:
```
data_Ba3Hg
_chemical_formula_sum 'Ba3 Hg1'
_space_group_name_H-M_alt 'P 1'
_space_group_IT_number 1
_space_group_name_Hall 'P 1'
_cell_length_a 7.324
_cell_length_b 7.324
_cell_length_c 7.324
_cell_angle_alpha 136.03
_cell_angle_beta 136.03
_cell_angle_gamma 63.93
loop_
_atom_site_label
_atom_site_fract_x
_atom_site_fract_y
_atom_site_fract_z
Hg1 0.000 0.000 0.000
Ba1 0.250 0.750 0.500
Ba2 0.500 0.500 0.000
Ba3 0.750 0.250 0.500
```

Computed properties:
The formation energy is -0.067 eV/atom. The calculation puts the energy relative to the lowest polymorph listed for this composition at 0.195 eV per atom.


no.,total DFT energy (no corrections) (eV/atom)
1,-9.65
2,-9.35
3,-3.95
4,-1.58